Entry 1:
{
  "formula": "BaInCu2S4",
  "functional": "PBE",
  "state": "optimized geometry",
  "lattice": [[6.552, 0.000, 0.000], [3.276, 5.344, 0.447], [3.276, 0.884, 5.290]],
  "species": ["S", "S", "S", "S", "Cu", "Cu", "In", "Ba"],
  "frac_coords": [[0.897, 0.521, 0.106], [0.103, 0.894, 0.479], [0.523, 0.479, 0.894], [0.477, 0.106, 0.521], [0.247, 0.253, 0.253], [0.753, 0.747, 0.747], [0.500, 0.500, 0.500], [0.000, 0.000, 0.000]],
  "magmom_total_mub_per_atom": 0.000,
  "e_form_raw_ev_per_atom": -0.754
}

=====

Entry 2:
{
  "formula": "BaIn2CuS4",
  "functional": "PBE",
  "state": "optimized geometry",
  "lattice": [[-2.360, 2.691, 1.862], [-3.496, -2.280, -5.507], [-5.493, -10.135, 7.684]],
  "species": ["Cu", "Cu", "S", "S", "S", "S", "S", "S", "S", "S", "In", "In", "In", "In", "Ba", "Ba"],
  "frac_coords": [[0.843, 0.686, 0.750], [0.157, 0.314, 0.250], [0.735, 0.470, 0.612], [0.428, 0.855, 0.750], [0.265, 0.530, 0.112], [0.000, 0.000, 0.500], [0.572, 0.145, 0.250], [0.265, 0.530, 0.388], [0.000, 0.000, 0.000], [0.735, 0.470, 0.888], [0.369, 0.738, 0.555], [0.631, 0.262, 0.055], [0.369, 0.738, 0.945], [0.631, 0.262, 0.445], [0.112, 0.224, 0.750], [0.888, 0.776, 0.250]],
  "magmom_total_mub_per_atom": 0.000,
  "e_form_raw_ev_per_atom": -0.821
}